# 1
A relaxed structure of Tl2BiSe2. Source: Alexandria, functional PBE.

Geometry as POSCAR:
```
Tl2BiSe2
1.0
-1.505 3.472 1.583
-0.305 -2.965 6.213
10.424 3.519 2.191
Se Bi Tl
4 2 4
Direct
0.500 0.287 0.636 Se
0.500 0.713 0.364 Se
0.500 0.787 0.864 Se
0.500 0.213 0.136 Se
0.000 0.500 0.500 Bi
0.000 0.000 0.000 Bi
0.000 0.078 0.339 Tl
0.000 0.578 0.161 Tl
0.000 0.422 0.839 Tl
0.000 0.922 0.661 Tl
```

Values from the calculation:
- Calculated total energy: -34.07 eV per cell
- Relative energy among the computed polymorphs: 0 meV/atom
- Raw formation energy: -290 meV/atom

# 2
A relaxed structure of Tl8BiSe6. Source: Alexandria, functional PBE.

Geometry as POSCAR:
```
Tl8BiSe6
1.0
7.219 0.000 2.372
3.220 6.461 2.372
0.489 0.303 10.684
Tl Bi Se
8 1 6
Direct
0.466 0.116 0.641 Tl
0.334 0.334 0.999 Tl
0.777 0.466 0.641 Tl
0.534 0.884 0.359 Tl
0.223 0.534 0.359 Tl
0.884 0.223 0.359 Tl
0.116 0.777 0.641 Tl
0.666 0.666 0.001 Tl
0.000 0.000 0.000 Bi
0.629 0.250 0.188 Se
0.371 0.750 0.812 Se
0.250 0.934 0.188 Se
0.750 0.066 0.812 Se
0.066 0.371 0.812 Se
0.934 0.629 0.188 Se
```

Values from the calculation:
- Calculated total energy: -49.09 eV per cell
- Raw formation energy: -358 meV/atom

# 3
A relaxed structure of TlBiSe2. Source: Alexandria, functional PBE.

Geometry as POSCAR:
```
TlBiSe2
1.0
0.522 2.131 4.826
-1.663 4.952 0.905
-4.287 0.849 3.000
Bi Se Tl
1 2 1
Direct
0.500 0.500 0.500 Bi
0.750 0.750 0.750 Se
0.250 0.250 0.250 Se
0.000 0.000 0.000 Tl
```

Values from the calculation:
- Calculated total energy: -13.76 eV per cell
- Raw formation energy: -136 meV/atom

# 4
A relaxed structure of Tl3BiSe3. Source: Alexandria, functional PBE.

Geometry as POSCAR:
```
Tl3BiSe3
1.0
-1.132 0.050 8.245
7.893 -1.978 -1.750
2.322 7.589 0.557
Se Bi Tl
6 2 6
Direct
0.143 0.464 0.274 Se
0.857 0.536 0.726 Se
0.536 0.857 0.726 Se
0.464 0.143 0.274 Se
0.054 0.054 0.760 Se
0.946 0.946 0.240 Se
0.215 0.215 0.100 Bi
0.785 0.785 0.900 Bi
0.228 0.772 0.000 Tl
0.809 0.191 0.500 Tl
0.671 0.671 0.452 Tl
0.772 0.228 0.000 Tl
0.191 0.809 0.500 Tl
0.329 0.329 0.548 Tl
```

Values from the calculation:
- Calculated total energy: -47.24 eV per cell
- Relative energy among the computed polymorphs: 103 meV/atom
- Raw formation energy: -312 meV/atom